The following is a PBEsol calculation of a geometry-optimized Hf3TcRh structure, from Alexandria via LeMat-Bulk.

Lattice parameters (Å, degrees): 4.8051 4.8051 4.8051 90.00 90.00 90.00
Last column: nearest neighbours and their distance in Å.
Fractional positions:
Hf 0.0000 0.5000 0.0000  2 Rh 2.40
Hf 0.5000 0.0000 0.0000  2 Rh 2.40
Hf 0.0000 0.0000 0.5000  2 Rh 2.40
Tc 0.5000 0.5000 0.5000  12 Hf 3.40
Rh 0.0000 0.0000 0.0000  6 Hf 2.40

Output
Size of the total moment ... 0.0 μB per formula unit
Formation energy from the elements ... 755 meV per atom